[1]
Crystalline KRbAgO2 at its relaxed geometry. Source: Alexandria via LeMat-Bulk, functional PBE.

a b c (Å): 7.2306 13.6157 5.4674
angles (deg): 90.00 90.00 90.00
With the nearest neighbours (Å) after each atom.
Space group Cmme (No. 67)
Asymmetric unit:
K: 0.2500 0.0000 0.0000 [4 per cell]  4 O 2.73
Rb: 0.0000 0.2500 0.3468 [4 per cell]  2 O 2.89
Ag: 0.0000 0.0000 0.5000 [4 per cell]  2 O 1.98
O: 0.0000 0.1087 0.7403 [8 per cell]  1 Ag 1.98

## Properties
Electronic total energy   -3.612 eV per atom
Raw formation energy   -0.646 eV per atom

=====

[2]
Crystalline K2ReAgO4 at its relaxed geometry. Source: Alexandria via LeMat-Bulk, functional PBE.

a b c (Å): 6.1860 6.1860 7.6048
angles (deg): 90.00 90.00 90.00
With the nearest neighbours (Å) after each atom.
Space group I-4 (No. 82)
Asymmetric unit:
K: 0.0000 0.0000 0.0000 [2 per cell]  4 O 2.70
K: 0.0000 0.5000 0.2500 [2 per cell]  8 O 2.91-3.07
Re: 0.0000 0.0000 0.5000 [2 per cell]  4 O 1.84
Ag: 0.0000 0.5000 0.7500 [2 per cell]  4 O 2.38
O: 0.1625 0.7638 0.5652 [8 per cell]  1 Re 1.84

## Properties
Electronic total energy   -5.956 eV per atom
Raw formation energy   -1.290 eV per atom

=====

[3]
Crystalline KRe2AgO8 at its relaxed geometry. Source: Alexandria via LeMat-Bulk, functional PBE.

a b c (Å): 11.6295 6.0412 7.0086
angles (deg): 90.00 114.16 90.00
With the nearest neighbours (Å) after each atom.
Space group C2/m (No. 12)
Asymmetric unit:
K: 0.0000 0.0000 0.0000 [2 per cell]  2 O 2.71
Re: 0.2025 0.0000 0.6747 [4 per cell]  4 O 1.75-1.77
Ag: 0.0000 0.5000 0.5000 [2 per cell]  4 O 2.37
O: 0.1344 0.2353 0.7370 [8 per cell]  1 Re 1.77
O: 0.1339 0.5000 0.1859 [4 per cell]  1 Re 1.75
O: 0.1667 0.0000 0.4062 [4 per cell]  1 Re 1.75

## Properties
Electronic total energy   -7.247 eV per atom
Raw formation energy   -1.538 eV per atom

=====

[4]
Crystalline K2ReAgO at its relaxed geometry. Source: Alexandria via LeMat-Bulk, functional PBE.

a b c (Å): 6.5552 6.5552 5.1144
angles (deg): 90.00 90.00 90.00
With the nearest neighbours (Å) after each atom.
Space group P4/mmm (No. 123)
Asymmetric unit:
K: 0.0000 0.5000 0.0000 [2 per cell]  2 Re 3.28
Re: 0.0000 0.0000 0.0000 [1 per cell]  2 Ag 2.56
Ag: 0.0000 0.0000 0.5000 [1 per cell]  2 Re 2.56
O: 0.5000 0.5000 0.5000 [1 per cell]  8 K 4.16, 4 Ag 4.64

## Properties
Electronic total energy   -3.016 eV per atom
Raw formation energy   1.475 eV per atom

=====

[5]
Crystalline KReAg2O4 at its relaxed geometry. Source: Alexandria via LeMat-Bulk, functional PBE.

a b c (Å): 7.5934 7.6113 11.2080
angles (deg): 90.00 90.00 90.00
With the nearest neighbours (Å) after each atom.
Space group Fmm2 (No. 42)
Asymmetric unit:
K: 0.0000 0.0000 0.0000 [4 per cell]  4 O 2.63
Re: 0.0000 0.0000 0.5010 [4 per cell]  4 O 1.80
Ag: 0.2500 0.2500 0.2506 [8 per cell]  4 O 2.59
O: 0.0000 0.1859 0.4022 [8 per cell]  1 Re 1.80
O: 0.1864 0.0000 0.5998 [8 per cell]  1 Re 1.80

## Properties
Electronic total energy   -5.794 eV per atom
Raw formation energy   -0.909 eV per atom

=====

[6]
Crystalline K2AgRhO4 at its relaxed geometry. Source: Alexandria via LeMat-Bulk, functional PBE.

a b c (Å): 6.3776 6.3776 7.1284
angles (deg): 90.00 90.00 90.00
With the nearest neighbours (Å) after each atom.
Space group I-4 (No. 82)
Asymmetric unit:
K: 0.0000 0.0000 0.0000 [2 per cell]  4 O 2.67
K: 0.0000 0.5000 0.2500 [2 per cell]  8 O 2.97-3.15
Ag: 0.0000 0.0000 0.5000 [2 per cell]  4 O 2.28
Rh: 0.0000 0.5000 0.7500 [2 per cell]  4 O 1.88
O: 0.1480 0.6958 0.6033 [8 per cell]  1 Rh 1.88

## Properties
Electronic total energy   -4.807 eV per atom
Raw formation energy   -0.778 eV per atom

=====

Question: Look up the electronic total energy of the fourth one.
Answer: -3.016 eV per atom

=====

Question: What is the electronic total energy in the third record?
Answer: -7.247 eV per atom